DFT (PBE) results for crystalline MgGaTc2 at its relaxed geometry.

Values from the calculation:
**ΔE_f**: 1.0 eV/f.u.
**ρ**: 7.96 g cm⁻³
**V**: 15.12 A^3/atom
**Spin magnetization**: 1.776 μB per formula unit
**Crystal system**: cubic

Cell: 6.2316 6.2316 6.2316 Å, 90.00 90.00 90.00°
Space group Fm-3m (No. 225)
Inequivalent atoms, fractional coordinates:
1 Mg 0.0000 0.0000 0.0000
2 Ga 0.0000 0.0000 0.5000
3 Tc 0.2500 0.2500 0.2500